Record 1
{"formula": "Tm6Sc2Hg", "functional": "PBE", "state": "optimized geometry", "formation_enthalpy_0k_ev_per_fu": -0.2, "final_energy_ev_per_cell": -80.0, "lattice_angstrom": [[9.924, 0.000, 0.000], [0.000, 9.924, 0.000], [0.000, 0.000, 5.107]], "species": ["Tm", "Tm", "Tm", "Tm", "Tm", "Tm", "Tm", "Tm", "Tm", "Tm", "Tm", "Tm", "Sc", "Sc", "Sc", "Sc", "Hg", "Hg"], "frac_coords": [[0.032, 0.320, 0.000], [0.131, 0.869, 0.500], [0.180, 0.532, 0.500], [0.320, 0.032, 0.000], [0.369, 0.369, 0.000], [0.468, 0.820, 0.500], [0.532, 0.180, 0.500], [0.631, 0.631, 0.000], [0.680, 0.968, 0.000], [0.820, 0.468, 0.500], [0.869, 0.131, 0.500], [0.968, 0.680, 0.000], [0.207, 0.207, 0.500], [0.293, 0.707, 0.000], [0.707, 0.293, 0.000], [0.793, 0.793, 0.500], [0.000, 0.000, 0.000], [0.500, 0.500, 0.500]]}


Record 2
{"formula": "LiMgTa2", "functional": "PBE", "state": "optimized geometry", "formation_enthalpy_0k_ev_per_fu": 1.7, "final_energy_ev_per_cell": -25.5, "lattice_angstrom": [[-1.503, 2.506, 4.641], [1.503, -2.506, 4.641], [1.503, 2.506, -4.641]], "species": ["Li", "Mg", "Ta", "Ta"], "frac_coords": [[0.000, 0.000, 0.000], [0.223, 0.723, 0.500], [0.499, 0.499, 0.000], [0.751, 0.251, 0.500]]}


Record 3
{"formula": "Nd2ScSn", "functional": "PBE", "state": "optimized geometry", "relative_energy_mev_per_atom": 44, "formation_enthalpy_0k_ev_per_fu": -1.5, "final_energy_ev_per_cell": -21.4, "lattice_angstrom": [[4.231, 0.000, 0.000], [0.000, 4.231, 0.000], [0.000, 0.000, 6.499]], "species": ["Nd", "Nd", "Sc", "Sn"], "frac_coords": [[0.000, 0.000, 0.238], [0.000, 0.000, 0.762], [0.500, 0.500, 0.500], [0.500, 0.500, 0.000]]}


Record 4
{"formula": "Ac3GeRh3", "functional": "PBE", "state": "optimized geometry", "relative_energy_mev_per_atom": 0, "formation_enthalpy_0k_ev_per_fu": -5.0, "final_energy_ev_per_cell": -88.0, "lattice_angstrom": [[5.779, -2.134, 0.000], [5.779, 2.134, 0.000], [-5.564, 0.000, 14.400]], "species": ["Ac", "Ac", "Ac", "Ac", "Ac", "Ac", "Ge", "Ge", "Rh", "Rh", "Rh", "Rh", "Rh", "Rh"], "frac_coords": [[0.027, 0.027, 0.382], [0.101, 0.101, 0.924], [0.239, 0.239, 0.219], [0.761, 0.761, 0.781], [0.899, 0.899, 0.076], [0.973, 0.973, 0.618], [0.255, 0.255, 0.613], [0.745, 0.745, 0.387], [0.315, 0.315, 0.468], [0.376, 0.376, 0.926], [0.464, 0.464, 0.763], [0.536, 0.536, 0.237], [0.624, 0.624, 0.074], [0.685, 0.685, 0.532]]}